! Fe2BTePt PBE optimized geometry; values from VASP
! Formation energy (no corrections)   0.1678 eV per atom
! Theoretical density   10.331 g cm⁻³
! Total energy   -6.3893 eV/atom
&SYSTEM
  ibrav = 0, nat = 5, ntyp = 4
/
ATOMIC_SPECIES
Fe 55.84 Fe.upf
Te 127.60 Te.upf
Pt 195.08 Pt.upf
B 10.81 B.upf
CELL_PARAMETERS angstrom
-2.616 1.971 -2.520
1.077 -2.571 -3.129
-3.018 -2.601 1.099
ATOMIC_POSITIONS angstrom
Fe -1.509 -1.300 0.549
Te -2.279 -1.601 -2.275
Pt 0.538 -1.286 -1.564
Fe -1.308 0.985 -1.260
B 0.000 0.000 0.000